Computed, not measured: TlSiP after structural relaxation at the GGA-PBE level of DFT.

a b c (Å): 3.3071 3.3071 11.7038
angles (deg): 90.00 90.00 90.00
Sites, in units of the cell vectors:
Tl 0.0000 0.0000 0.0000
Tl 0.5000 0.5000 0.5000
Si 0.0000 0.0000 0.7106
Si 0.5000 0.5000 0.2106
P 0.0000 0.0000 0.2714
P 0.5000 0.5000 0.7714

Summary:
Symmetry: I4mm, No. 107
Offset from the most stable computed form in kcal/mol of atoms: 4.29
Energy relative to the elements, uncorrected in eV/atom: 0.24
Uncorrected energy in eV per cell: -24.9

---

Computed, not measured: TaTlAs2Se after structural relaxation at the GGA-PBE level of DFT.

a b c (Å): 5.0994 5.0994 5.1981
angles (deg): 90.00 90.00 90.00
Sites, in units of the cell vectors:
Ta 0.0000 0.0000 0.0000
Tl 0.5000 0.5000 0.5000
As 0.0000 0.5000 0.5000
As 0.5000 0.0000 0.5000
Se 0.5000 0.5000 0.0000

Summary:
Symmetry: P4/mmm, No. 123
Offset from the most stable computed form in kcal/mol of atoms: 39.23
Energy relative to the elements, uncorrected in eV/atom: 1.68
Uncorrected energy in eV per cell: -18.6

---

Computed, not measured: Er8Te4SeS3 after structural relaxation at the GGA-PBE level of DFT.

a b c (Å): 8.3213 8.3213 8.3213
angles (deg): 58.72 58.72 58.72
Sites, in units of the cell vectors:
Er 0.2240 0.7401 0.7401
Er 0.2338 0.2338 0.2338
Er 0.2599 0.2599 0.7760
Er 0.2599 0.7760 0.2599
Er 0.7401 0.2240 0.7401
Er 0.7401 0.7401 0.2240
Er 0.7662 0.7662 0.7662
Er 0.7760 0.2599 0.2599
Te 0.0000 0.0000 0.0000
Te 0.0000 0.5000 0.5000
Te 0.5000 0.0000 0.5000
Te 0.5000 0.5000 0.0000
Se 0.5000 0.5000 0.5000
S 0.0000 0.0000 0.5000
S 0.0000 0.5000 0.0000
S 0.5000 0.0000 0.0000

Summary:
Symmetry: R-3m, No. 166
Energy relative to the elements, uncorrected in eV/atom: -1.57
Uncorrected energy in eV per cell: -90.1

---

Computed, not measured: TbPaP after structural relaxation at the GGA-PBE level of DFT.

a b c (Å): 3.4732 3.4732 11.8882
angles (deg): 90.00 90.00 90.00
Sites, in units of the cell vectors:
Tb 0.0000 0.0000 0.0000
Tb 0.5000 0.5000 0.5000
Pa 0.0000 0.0000 0.2693
Pa 0.5000 0.5000 0.7693
P 0.0000 0.0000 0.6439
P 0.5000 0.5000 0.1439

Summary:
Energy relative to the elements in eV/atom: -0.547
Symmetry: I4mm, No. 107
Offset from the most stable computed form in kcal/mol of atoms: 1.99
Uncorrected energy in eV per cell: -42.4

---

Computed, not measured: Ni2BiB after structural relaxation at the GGA-PBE level of DFT.

a b c (Å): 4.5821 4.5821 12.1980
angles (deg): 90.00 90.00 90.00
Sites, in units of the cell vectors:
Ni 0.0781 0.2500 0.1250
Ni 0.2500 0.5781 0.3750
Ni 0.2500 0.9219 0.8750
Ni 0.4219 0.2500 0.6250
Ni 0.5781 0.7500 0.6250
Ni 0.7500 0.0781 0.8750
Ni 0.7500 0.4219 0.3750
Ni 0.9219 0.7500 0.1250
Bi 0.0000 0.0000 0.5000
Bi 0.0000 0.5000 0.7500
Bi 0.5000 0.0000 0.2500
Bi 0.5000 0.5000 0.0000
B 0.0000 0.0000 0.0000
B 0.0000 0.5000 0.2500
B 0.5000 0.0000 0.7500
B 0.5000 0.5000 0.5000

Summary:
Energy relative to the elements in eV/atom: 0.288
Symmetry: I-42d, No. 122
Offset from the most stable computed form in kcal/mol of atoms: 0.00
Uncorrected energy in eV per cell: -83.9

---

Computed, not measured: CaMg2Ni after structural relaxation at the GGA-PBE level of DFT.

a b c (Å): 3.2750 3.2750 8.0178
angles (deg): 90.00 90.00 90.00
Sites, in units of the cell vectors:
Ca 0.0000 0.0000 0.0000
Mg 0.5000 0.5000 0.3222
Mg 0.5000 0.5000 0.6778
Ni 0.0000 0.0000 0.5000

Summary:
Energy relative to the elements in eV/atom: -0.036
Symmetry: P4/mmm, No. 123
Uncorrected energy in eV per cell: -11.1

---

Computed, not measured: Hg6AuS8 after structural relaxation at the GGA-PBE level of DFT.

a b c (Å): 7.7086 7.7086 7.7086
angles (deg): 97.21 97.21 97.21
Sites, in units of the cell vectors:
Hg 0.1188 0.6434 0.2779
Hg 0.2779 0.1188 0.6434
Hg 0.3566 0.7221 0.8812
Hg 0.6434 0.2779 0.1188
Hg 0.7221 0.8812 0.3566
Hg 0.8812 0.3566 0.7221
Au 0.0000 0.0000 0.0000
S 0.1599 0.3866 0.6200
S 0.1906 0.1906 0.1906
S 0.3800 0.8401 0.6134
S 0.3866 0.6200 0.1599
S 0.6134 0.3800 0.8401
S 0.6200 0.1599 0.3866
S 0.8094 0.8094 0.8094
S 0.8401 0.6134 0.3800

Summary:
Symmetry: R-3, No. 148
Energy relative to the elements, uncorrected in eV/atom: 0.12
Uncorrected energy in eV per cell: -36.4

---

Computed, not measured: InTcRh2 after structural relaxation at the GGA-PBE level of DFT.

a b c (Å): 3.9922 3.9922 17.5818
angles (deg): 90.00 90.00 90.00
Sites, in units of the cell vectors:
In 0.0000 0.0000 0.0000
In 0.0000 0.5000 0.2500
In 0.5000 0.0000 0.7500
In 0.5000 0.5000 0.5000
Tc 0.0000 0.0000 0.5000
Tc 0.0000 0.5000 0.7500
Tc 0.5000 0.0000 0.2500
Tc 0.5000 0.5000 0.0000
Rh 0.2220 0.2500 0.6250
Rh 0.2500 0.7220 0.8750
Rh 0.2500 0.7780 0.3750
Rh 0.2780 0.2500 0.1250
Rh 0.7220 0.7500 0.1250
Rh 0.7500 0.2220 0.3750
Rh 0.7500 0.2780 0.8750
Rh 0.7780 0.7500 0.6250

Summary:
Energy relative to the elements in eV/atom: 0.457
Symmetry: I-42d, No. 122
Uncorrected energy in eV per cell: -103.9

---

Computed, not measured: Tb12SmTh6 after structural relaxation at the GGA-PBE level of DFT.

a b c (Å): 8.6980 8.6980 8.6980
angles (deg): 97.72 97.72 97.72
Sites, in units of the cell vectors:
Tb 0.0000 0.2620 0.7380
Tb 0.0000 0.7380 0.2620
Tb 0.1672 0.5875 0.5875
Tb 0.2620 0.0000 0.7380
Tb 0.2620 0.7380 0.0000
Tb 0.4125 0.4125 0.8328
Tb 0.4125 0.8328 0.4125
Tb 0.5875 0.1672 0.5875
Tb 0.5875 0.5875 0.1672
Tb 0.7380 0.0000 0.2620
Tb 0.7380 0.2620 0.0000
Tb 0.8328 0.4125 0.4125
Sm 0.0000 0.0000 0.0000
Th 0.1381 0.1381 0.4078
Th 0.1381 0.4078 0.1381
Th 0.4078 0.1381 0.1381
Th 0.5922 0.8619 0.8619
Th 0.8619 0.5922 0.8619
Th 0.8619 0.8619 0.5922

Summary:
Energy relative to the elements in eV/atom: 0.167
Symmetry: R-3m, No. 166
Uncorrected energy in eV per cell: -101.6

---

Computed, not measured: PmPu3Rh4 after structural relaxation at the GGA-PBE level of DFT.

a b c (Å): 3.4378 4.8814 9.7732
angles (deg): 90.00 90.00 90.00
Sites, in units of the cell vectors:
Pm 0.0000 0.0000 0.0000
Pu 0.0000 0.0000 0.5000
Pu 0.0000 0.5000 0.2520
Pu 0.0000 0.5000 0.7480
Rh 0.5000 0.0000 0.2614
Rh 0.5000 0.0000 0.7386
Rh 0.5000 0.5000 0.0000
Rh 0.5000 0.5000 0.5000

Summary:
Energy relative to the elements in eV/atom: -0.474
Symmetry: Pmmm, No. 47
Uncorrected energy in eV per cell: -80.9

---

Computed, not measured: K2RbSb2 after structural relaxation at the GGA-PBE level of DFT.

a b c (Å): 9.3014 9.3014 5.0392
angles (deg): 90.00 90.00 90.00
Sites, in units of the cell vectors:
K 0.1703 0.3297 0.0000
K 0.3297 0.8297 0.0000
K 0.6703 0.1703 0.0000
K 0.8297 0.6703 0.0000
Rb 0.0000 0.0000 0.5000
Rb 0.5000 0.5000 0.5000
Sb 0.1078 0.6078 0.5000
Sb 0.3922 0.1078 0.5000
Sb 0.6078 0.8922 0.5000
Sb 0.8922 0.3922 0.5000

Summary:
Symmetry: P4/mbm, No. 127
Offset from the most stable computed form in kcal/mol of atoms: 0.00
Energy relative to the elements, uncorrected in eV/atom: -0.35
Uncorrected energy in eV per cell: -26.3

---

Computed, not measured: PrGdHgGe after structural relaxation at the GGA-PBE level of DFT.

a b c (Å): 7.4709 7.4709 7.4709
angles (deg): 90.00 90.00 90.00
Sites, in units of the cell vectors:
Pr 0.0000 0.0000 0.0000
Pr 0.0000 0.5000 0.5000
Pr 0.5000 0.0000 0.5000
Pr 0.5000 0.5000 0.0000
Gd 0.0000 0.0000 0.5000
Gd 0.0000 0.5000 0.0000
Gd 0.5000 0.0000 0.0000
Gd 0.5000 0.5000 0.5000
Hg 0.2500 0.2500 0.7500
Hg 0.2500 0.7500 0.2500
Hg 0.7500 0.2500 0.2500
Hg 0.7500 0.7500 0.7500
Ge 0.2500 0.2500 0.2500
Ge 0.2500 0.7500 0.7500
Ge 0.7500 0.2500 0.7500
Ge 0.7500 0.7500 0.2500

Summary:
Energy relative to the elements in eV/atom: -0.568
Symmetry: F-43m, No. 216
Uncorrected energy in eV per cell: -104.2

---

Computed, not measured: Tb2NdSe5 after structural relaxation at the GGA-PBE level of DFT.

a b c (Å): 8.5662 8.5662 8.5662
angles (deg): 126.69 126.69 78.76
Sites, in units of the cell vectors:
Tb 0.1556 0.6556 0.8113
Tb 0.3444 0.1556 0.5000
Tb 0.6556 0.8444 0.5000
Tb 0.8444 0.3444 0.1887
Nd 0.2500 0.2500 0.0000
Nd 0.7500 0.7500 0.0000
Se 0.0000 0.0000 0.0000
Se 0.0080 0.1992 0.5000
Se 0.1992 0.6992 0.1913
Se 0.3008 0.4920 0.5000
Se 0.4920 0.9920 0.1913
Se 0.5000 0.5000 0.0000
Se 0.5080 0.0080 0.8087
Se 0.6992 0.5080 0.5000
Se 0.8008 0.3008 0.8087
Se 0.9920 0.8008 0.5000

Summary:
Symmetry: I4/mcm, No. 140
Energy relative to the elements, uncorrected in eV/atom: -1.64
Uncorrected energy in eV per cell: -89.1

---

Computed, not measured: NbBAs3 after structural relaxation at the GGA-PBE level of DFT.

a b c (Å): 4.9927 4.9927 4.9927
angles (deg): 90.00 90.00 90.00
Sites, in units of the cell vectors:
Nb 0.0000 0.0000 0.0000
B 0.5000 0.5000 0.5000
As 0.0000 0.0000 0.5000
As 0.0000 0.5000 0.0000
As 0.5000 0.0000 0.0000

Summary:
Energy relative to the elements in eV/atom: 1.169
Symmetry: Pm-3m, No. 221
Offset from the most stable computed form in kcal/mol of atoms: 8.65
Uncorrected energy in eV per cell: -24.9

---

Computed, not measured: SrZrS2O8 after structural relaxation at the GGA-PBE level of DFT.

a b c (Å): 5.1987 5.1987 7.6658
angles (deg): 90.00 90.00 120.00
Sites, in units of the cell vectors:
Sr 0.0000 0.0000 0.0000
Zr 0.0000 0.0000 0.5000
S 0.3333 0.6667 0.7794
S 0.6667 0.3333 0.2206
O 0.1745 0.3530 0.7172
O 0.1785 0.8255 0.7172
O 0.3333 0.6667 0.9724
O 0.3530 0.1785 0.2828
O 0.6470 0.8215 0.7172
O 0.6667 0.3333 0.0276
O 0.8215 0.1745 0.2828
O 0.8255 0.6470 0.2828

Summary:
Symmetry: P-3, No. 147
Energy relative to the elements, uncorrected in eV/atom: -1.83
Uncorrected energy in eV per cell: -80.1

---

Computed, not measured: PrNd2Y6Ho after structural relaxation at the GGA-PBE level of DFT.

a b c (Å): 8.8286 8.8286 9.8205
angles (deg): 94.82 94.82 117.61
Sites, in units of the cell vectors:
Pr 0.0185 0.9815 0.7500
Pr 0.9815 0.0185 0.2500
Nd 0.1948 0.2940 0.5451
Nd 0.2940 0.1948 0.0451
Nd 0.7060 0.8052 0.9549
Nd 0.8052 0.7060 0.4549
Y 0.0177 0.5713 0.6853
Y 0.1210 0.7412 0.0573
Y 0.2588 0.8790 0.4427
Y 0.2974 0.5090 0.8825
Y 0.4287 0.9823 0.8147
Y 0.4910 0.7026 0.6175
Y 0.5090 0.2974 0.3825
Y 0.5713 0.0177 0.1853
Y 0.7026 0.4910 0.1175
Y 0.7412 0.1210 0.5573
Y 0.8790 0.2588 0.9427
Y 0.9823 0.4287 0.3147
Ho 0.4070 0.5930 0.2500
Ho 0.5930 0.4070 0.7500

Summary:
Energy relative to the elements in eV/atom: 0.112
Symmetry: C2/c, No. 15
Uncorrected energy in eV per cell: -113.1

---

Computed, not measured: BaSi2As after structural relaxation at the GGA-PBE level of DFT.

a b c (Å): 8.8149 3.9138 5.9659
angles (deg): 90.00 108.16 90.00
Sites, in units of the cell vectors:
Ba 0.0000 0.0000 0.0000
Ba 0.5000 0.5000 0.0000
Si 0.0198 0.5000 0.5255
Si 0.2215 0.0000 0.6310
Si 0.5198 0.0000 0.5255
Si 0.7215 0.5000 0.6310
As 0.2896 0.5000 0.3874
As 0.7896 0.0000 0.3874

Summary:
Symmetry: Cm, No. 8
Energy relative to the elements, uncorrected in eV/atom: -0.20
Uncorrected energy in eV per cell: -36.5

---

Computed, not measured: Li3MgSn12 after structural relaxation at the GGA-PBE level of DFT.

a b c (Å): 4.5571 4.5571 19.4267
angles (deg): 90.00 90.00 90.00
Sites, in units of the cell vectors:
Li 0.0000 0.0000 0.0000
Li 0.0000 0.0000 0.2457
Li 0.0000 0.0000 0.7543
Mg 0.0000 0.0000 0.5000
Sn 0.0000 0.5000 0.1232
Sn 0.0000 0.5000 0.3708
Sn 0.0000 0.5000 0.6292
Sn 0.0000 0.5000 0.8768
Sn 0.5000 0.0000 0.1232
Sn 0.5000 0.0000 0.3708
Sn 0.5000 0.0000 0.6292
Sn 0.5000 0.0000 0.8768
Sn 0.5000 0.5000 0.0000
Sn 0.5000 0.5000 0.2462
Sn 0.5000 0.5000 0.5000
Sn 0.5000 0.5000 0.7538

Summary:
Energy relative to the elements in eV/atom: -0.114
Symmetry: P4/mmm, No. 123
Uncorrected energy in eV per cell: -57.2

---

Computed, not measured: Sr6P2SN after structural relaxation at the GGA-PBE level of DFT.

a b c (Å): 7.0803 7.8926 12.5611
angles (deg): 90.00 124.27 90.00
Sites, in units of the cell vectors:
Sr 0.1024 0.2071 0.4339
Sr 0.1024 0.2929 0.9339
Sr 0.2330 0.6742 0.4340
Sr 0.2330 0.8258 0.9340
Sr 0.3644 0.0480 0.2337
Sr 0.3644 0.4520 0.7337
Sr 0.6356 0.5480 0.2663
Sr 0.6356 0.9520 0.7663
Sr 0.7670 0.1742 0.0660
Sr 0.7670 0.3258 0.5660
Sr 0.8976 0.7071 0.0661
Sr 0.8976 0.7929 0.5661
P 0.2074 0.0936 0.7478
P 0.2074 0.4064 0.2478
P 0.7926 0.5936 0.7522
P 0.7926 0.9064 0.2522
S 0.5000 0.0000 0.5000
S 0.5000 0.5000 0.0000
N 0.0000 0.0000 0.0000
N 0.0000 0.5000 0.5000

Summary:
Symmetry: P2_1/c, No. 14
Energy relative to the elements, uncorrected in eV/atom: -1.06
Uncorrected energy in eV per cell: -88.0

---

Computed, not measured: DyCd3Ag7 after structural relaxation at the GGA-PBE level of DFT.

a b c (Å): 6.8024 6.8024 5.6301
angles (deg): 105.61 105.61 90.63
Sites, in units of the cell vectors:
Dy 0.0000 0.0000 0.0000
Cd 0.2875 0.7125 0.5000
Cd 0.5000 0.5000 0.0000
Cd 0.7125 0.2875 0.5000
Ag 0.0000 0.0000 0.5000
Ag 0.0773 0.5448 0.8082
Ag 0.2872 0.2872 0.4627
Ag 0.4552 0.9227 0.1918
Ag 0.5448 0.0773 0.8082
Ag 0.7128 0.7128 0.5373
Ag 0.9227 0.4552 0.1918

Summary:
Energy relative to the elements in eV/atom: 0.084
Symmetry: C2/m, No. 12
Uncorrected energy in eV per cell: -26.4

---

Computed, not measured: RbNa4Mg after structural relaxation at the GGA-PBE level of DFT.

a b c (Å): 6.9944 6.9944 6.9944
angles (deg): 60.00 60.00 60.00
Sites, in units of the cell vectors:
Rb 0.0000 0.0000 0.0000
Na 0.3768 0.3768 0.3768
Na 0.3768 0.3768 0.8695
Na 0.3768 0.8695 0.3768
Na 0.8695 0.3768 0.3768
Mg 0.7500 0.7500 0.7500

Summary:
Energy relative to the elements in eV/atom: 0.123
Symmetry: F-43m, No. 216
Uncorrected energy in eV per cell: -7.1

---

Computed, not measured: Ac2H2Pb after structural relaxation at the GGA-PBE level of DFT.

a b c (Å): 4.3637 4.3637 12.5828
angles (deg): 90.00 90.00 90.00
Sites, in units of the cell vectors:
Ac 0.0000 0.0000 0.1481
Ac 0.0000 0.0000 0.8519
Ac 0.5000 0.5000 0.3519
Ac 0.5000 0.5000 0.6481
H 0.0000 0.5000 0.2500
H 0.0000 0.5000 0.7500
H 0.5000 0.0000 0.2500
H 0.5000 0.0000 0.7500
Pb 0.0000 0.0000 0.5000
Pb 0.5000 0.5000 0.0000

Summary:
Symmetry: I4/mmm, No. 139
Uncorrected energy in eV per cell: -43.0